(1)
The following is a DFT calculation (GGA-PBE) of crystalline Pr2SiOsC at its relaxed geometry.

Properties
Magnetization ... 0.0 μB/cell
D(E_F) ... 0.561 states/eV per atom
Formation energy (no corrections) ... -0.3477 eV/atom

abc: 6.4245 4.1503 8.8479
angles: 90.00 109.81 90.00
Closest atoms and distances in Å follow each position.
Fractional positions:
Pr (0.2070, 0.2500, 0.3887)  2 C 2.79, 1 Os 3.08
Pr (0.2280, 0.2500, 0.9709)  3 C 2.55-2.81
Pr (0.7720, 0.7500, 0.0291)  3 C 2.55-2.81
Pr (0.7930, 0.7500, 0.6113)  2 C 2.79, 1 Os 3.08
Si (0.3108, 0.7500, 0.6983)  2 Os 2.37
Si (0.6892, 0.2500, 0.3017)  2 Os 2.37
Os (0.4983, 0.7500, 0.2546)  1 C 1.87
Os (0.5017, 0.2500, 0.7454)  1 C 1.87
C (0.1896, 0.7500, 0.1746)  1 Os 1.87
C (0.8104, 0.2500, 0.8254)  1 Os 1.87

(2)
The following is a DFT calculation (GGA-PBE) of crystalline PrTh2OsC4 at its relaxed geometry.

Properties
Total energy ... -135.607 eV per cell
Magnetization ... 0.0 μB/cell
D(E_F) ... 0.634 states/eV per atom

abc: 6.4381 6.4381 12.7105
angles: 90.00 90.00 146.98
Closest atoms and distances in Å follow each position.
Fractional positions:
Pr (0.0919, 0.9081, 0.7500)  6 C 2.91-2.97, 1 Os 3.24
Pr (0.9081, 0.0919, 0.2500)  6 C 2.91-2.97, 1 Os 3.24
Th (0.3678, 0.6322, 0.5421)  6 C 2.51-2.70
Th (0.3678, 0.6322, 0.9579)  6 C 2.51-2.70
Th (0.6322, 0.3678, 0.0421)  6 C 2.51-2.70
Th (0.6322, 0.3678, 0.4579)  6 C 2.51-2.70
Os (0.1706, 0.8294, 0.2500)  4 C 1.90-2.08
Os (0.8294, 0.1706, 0.7500)  4 C 1.90-2.08
C (0.0000, 0.0000, 0.0000)  4 Th 2.51
C (0.0000, 0.0000, 0.5000)  4 Th 2.51
C (0.2641, 0.7359, 0.1308)  1 Os 1.90
C (0.2641, 0.7359, 0.3692)  1 Os 1.90
C (0.4091, 0.5909, 0.7500)  2 Os 2.08
C (0.5909, 0.4091, 0.2500)  2 Os 2.08
C (0.7359, 0.2641, 0.6308)  1 Os 1.90
C (0.7359, 0.2641, 0.8692)  1 Os 1.90

(3)
The following is a DFT calculation (GGA-PBE) of crystalline Pr2ZnOsC at its relaxed geometry.

Properties
Total energy ... -32.439 eV per cell
Magnetization ... 0.0 μB/cell
D(E_F) ... 0.497 states/eV per atom

abc: 5.2635 5.2635 3.9130
angles: 90.00 90.00 90.00
Closest atoms and distances in Å follow each position.
Fractional positions:
Pr (0.0000, 0.5000, 0.0000)  2 C 2.63
Pr (0.5000, 0.0000, 0.0000)  2 C 2.63
Zn (0.0000, 0.0000, 0.5000)  8 Pr 3.28
Os (0.5000, 0.5000, 0.5000)  2 C 1.96
C (0.5000, 0.5000, 0.0000)  2 Os 1.96

(4)
The following is a DFT calculation (GGA-PBE) of crystalline Os2Pt4C at its relaxed geometry.

Properties
Total energy ... -97.128 eV per cell
Magnetization ... 0.0 μB/cell
D(E_F) ... 1.822 states/eV per atom

abc: 4.0556 4.0556 13.2475
angles: 90.00 90.00 90.00
Closest atoms and distances in Å follow each position.
Fractional positions:
Os (0.0000, 0.0000, 0.1455)  1 Pt 2.46
Os (0.0000, 0.0000, 0.8545)  1 Pt 2.46
Os (0.5000, 0.5000, 0.3545)  1 Pt 2.46
Os (0.5000, 0.5000, 0.6455)  1 Pt 2.46
Pt (0.0000, 0.0000, 0.3310)  1 C 2.24, 1 Os 2.46
Pt (0.0000, 0.0000, 0.6690)  1 C 2.24, 1 Os 2.46
Pt (0.0000, 0.5000, 0.0000)  2 C 2.03
Pt (0.0000, 0.5000, 0.5000)  2 C 2.03
Pt (0.5000, 0.0000, 0.0000)  2 C 2.03
Pt (0.5000, 0.0000, 0.5000)  2 C 2.03
Pt (0.5000, 0.5000, 0.1690)  1 C 2.24, 1 Os 2.46
Pt (0.5000, 0.5000, 0.8310)  1 C 2.24, 1 Os 2.46
C (0.0000, 0.0000, 0.5000)  6 Pt 2.03-2.24
C (0.5000, 0.5000, 0.0000)  6 Pt 2.03-2.24

(5)
The following is a DFT calculation (GGA-PBE) of crystalline OsPt3C at its relaxed geometry.

Properties
Total energy ... -25.232 eV per cell
Magnetization ... 1.2 μB/cell
D(E_F) ... 1.200 states/eV per atom

abc: 4.8209 4.8209 4.8209
angles: 90.00 90.00 90.00
Closest atoms and distances in Å follow each position.
Fractional positions:
Os (0.0000, 0.0000, 0.0000)  6 Pt 2.41
Pt (0.0000, 0.0000, 0.5000)  2 Os 2.41
Pt (0.0000, 0.5000, 0.0000)  2 Os 2.41
Pt (0.5000, 0.0000, 0.0000)  2 Os 2.41
C (0.5000, 0.5000, 0.5000)  12 Pt 3.41

(6)
The following is a DFT calculation (GGA-PBE) of crystalline OsPt3C at its relaxed geometry.

Properties
Total energy ... -33.826 eV per cell
Magnetization ... 1.2 μB/cell
D(E_F) ... 1.532 states/eV per atom

abc: 4.1561 4.1561 4.1561
angles: 90.00 90.00 90.00
Closest atoms and distances in Å follow each position.
Fractional positions:
Os (0.0000, 0.0000, 0.0000)  12 Pt 2.94
Pt (0.0000, 0.5000, 0.5000)  2 C 2.08
Pt (0.5000, 0.0000, 0.5000)  2 C 2.08
Pt (0.5000, 0.5000, 0.0000)  2 C 2.08
C (0.5000, 0.5000, 0.5000)  6 Pt 2.08

(7)
The following is a DFT calculation (GGA-PBE) of crystalline Os2PtC at its relaxed geometry.

Properties
Total energy ... -134.921 eV per cell
Magnetization ... 0.0 μB/cell
D(E_F) ... 1.364 states/eV per atom

abc: 4.9082 4.9082 10.8264
angles: 90.00 90.00 90.00
Closest atoms and distances in Å follow each position.
Fractional positions:
Os (0.1517, 0.2500, 0.1250)  2 C 1.97
Os (0.2500, 0.6517, 0.3750)  2 C 1.97
Os (0.2500, 0.8483, 0.8750)  2 C 1.97
Os (0.3483, 0.2500, 0.6250)  2 C 1.97
Os (0.6517, 0.7500, 0.6250)  2 C 1.97
Os (0.7500, 0.1517, 0.8750)  2 C 1.97
Os (0.7500, 0.3483, 0.3750)  2 C 1.97
Os (0.8483, 0.7500, 0.1250)  2 C 1.97
Pt (0.0000, 0.0000, 0.5000)  4 Os 2.50
Pt (0.0000, 0.5000, 0.7500)  4 Os 2.50
Pt (0.5000, 0.0000, 0.2500)  4 Os 2.50
Pt (0.5000, 0.5000, 0.0000)  4 Os 2.50
C (0.0000, 0.0000, 0.0000)  4 Os 1.97
C (0.0000, 0.5000, 0.2500)  4 Os 1.97
C (0.5000, 0.0000, 0.7500)  4 Os 1.97
C (0.5000, 0.5000, 0.5000)  4 Os 1.97

(8)
The following is a DFT calculation (GGA-PBE) of crystalline OsPt2C at its relaxed geometry.

Properties
Total energy ... -115.832 eV per cell
Magnetization ... 0.0 μB/cell
D(E_F) ... 0.542 states/eV per atom

abc: 6.5601 6.5601 5.0377
angles: 90.00 90.00 90.00
Closest atoms and distances in Å follow each position.
Fractional positions:
Os (0.0000, 0.0000, 0.0000)  2 C 2.52, 8 Pt 2.73-2.80
Os (0.0000, 0.5000, 0.2500)  2 C 2.52, 8 Pt 2.73-2.80
Os (0.5000, 0.0000, 0.7500)  2 C 2.52, 8 Pt 2.73-2.80
Os (0.5000, 0.5000, 0.5000)  2 C 2.52, 8 Pt 2.73-2.80
Pt (0.1684, 0.2500, 0.6250)  2 C 2.08
Pt (0.2500, 0.6684, 0.8750)  2 C 2.08
Pt (0.2500, 0.8316, 0.3750)  2 C 2.08
Pt (0.3316, 0.2500, 0.1250)  2 C 2.08
Pt (0.6684, 0.7500, 0.1250)  2 C 2.08
Pt (0.7500, 0.1684, 0.3750)  2 C 2.08
Pt (0.7500, 0.3316, 0.8750)  2 C 2.08
Pt (0.8316, 0.7500, 0.6250)  2 C 2.08
C (0.0000, 0.0000, 0.5000)  4 Pt 2.08
C (0.0000, 0.5000, 0.7500)  4 Pt 2.08
C (0.5000, 0.0000, 0.2500)  4 Pt 2.08
C (0.5000, 0.5000, 0.0000)  4 Pt 2.08

(9)
The following is a DFT calculation (GGA-PBE) of crystalline ReOsPtC2 at its relaxed geometry.

Properties
Total energy ... -38.772 eV per cell
Magnetization ... 0.0 μB/cell
D(E_F) ... 1.072 states/eV per atom

abc: 3.8276 3.8276 5.3807
angles: 90.00 90.00 90.00
Closest atoms and distances in Å follow each position.
Fractional positions:
Re (0.0000, 0.0000, 0.0000)  2 Os 2.69, 4 Pt 2.71
Os (0.0000, 0.0000, 0.5000)  4 C 1.91
Pt (0.5000, 0.5000, 0.0000)  4 Re 2.71
C (0.0000, 0.5000, 0.5000)  2 Os 1.91
C (0.5000, 0.0000, 0.5000)  2 Os 1.91

(10)
The following is a DFT calculation (GGA-PBE) of crystalline OsRuPt2C at its relaxed geometry.

Properties
Total energy ... -26.790 eV per cell
Magnetization ... 1.9 μB/cell
D(E_F) ... 1.584 states/eV per atom

abc: 4.8140 4.8140 4.5919
angles: 90.00 90.00 90.00
Closest atoms and distances in Å follow each position.
Fractional positions:
Os (0.0000, 0.0000, 0.0000)  2 Ru 2.30
Ru (0.0000, 0.0000, 0.5000)  2 Os 2.30, 4 Pt 2.41
Pt (0.0000, 0.5000, 0.5000)  2 Ru 2.41
Pt (0.5000, 0.0000, 0.5000)  2 Ru 2.41
C (0.5000, 0.5000, 0.0000)  8 Pt 3.33, 4 Os 3.40

(11)
The following is a DFT calculation (GGA-PBE) of crystalline TlOs2PtC at its relaxed geometry.

Properties
Total energy ... -36.261 eV per cell
Magnetization ... 0.0 μB/cell
D(E_F) ... 1.038 states/eV per atom

abc: 4.1535 4.1535 4.3052
angles: 90.00 90.00 90.00
Closest atoms and distances in Å follow each position.
Fractional positions:
Tl (0.0000, 0.0000, 0.0000)  4 Pt 2.94, 8 Os 2.99
Os (0.0000, 0.5000, 0.5000)  2 C 2.08
Os (0.5000, 0.0000, 0.5000)  2 C 2.08
Pt (0.5000, 0.5000, 0.0000)  2 C 2.15
C (0.5000, 0.5000, 0.5000)  4 Os 2.08, 2 Pt 2.15

(12)
The following is a DFT calculation (GGA-PBE) of crystalline Y2OsPtC at its relaxed geometry.

Properties
Total energy ... -42.320 eV per cell
Magnetization ... 0.0 μB/cell
D(E_F) ... 0.525 states/eV per atom

abc: 4.9370 4.9370 3.8664
angles: 90.00 90.00 90.00
Closest atoms and distances in Å follow each position.
Fractional positions:
Y (0.0000, 0.5000, 0.0000)  2 C 2.47
Y (0.5000, 0.0000, 0.0000)  2 C 2.47
Os (0.0000, 0.0000, 0.5000)  2 C 1.93
Pt (0.5000, 0.5000, 0.5000)  8 Y 3.14, 4 Os 3.49
C (0.0000, 0.0000, 0.0000)  2 Os 1.93

no.,volume (Å³/cell)
1,222.0
2,287.1
3,108.4
4,217.9
5,112.0
6,71.8
7,260.8
8,216.8
9,78.8
10,106.4
11,74.3
12,94.2